No. 1
# Na2As2Pd | OQMD | PBE-GGA | optimized geometry
# - energy above the lowest structure with this stoichiometry (meV/atom) = 0.0
data_Na2As2Pd
_chemical_formula_sum 'Na4 As4 Pd2'
_symmetry_space_group_name_H-M 'P 4/m b m'
_symmetry_Int_Tables_number 127
_symmetry_space_group_name_Hall '-P 4 2ab'
_cell_length_a 6.495
_cell_length_b 6.495
_cell_length_c 4.806
_cell_angle_alpha 90.00
_cell_angle_beta 90.00
_cell_angle_gamma 90.00
loop_
_atom_site_label
_atom_site_type_symbol
_atom_site_fract_x
_atom_site_fract_y
_atom_site_fract_z
_atom_site_occupancy
Na1 Na 0.174 0.326 0.000 1
As1 As 0.137 0.637 0.500 1
Pd1 Pd 0.000 0.000 0.500 1

---

No. 2
# InCu3GeSe4 | OQMD | PBE-GGA | optimized geometry
# - energy above the lowest structure with this stoichiometry (meV/atom) = 29.6
data_InCu3GeSe4
_chemical_formula_sum 'In1 Cu3 Ge1 Se4'
_symmetry_space_group_name_H-M 'P -4 3 m'
_symmetry_Int_Tables_number 215
_symmetry_space_group_name_Hall 'P -4 2 3'
_cell_length_a 5.973
_cell_length_b 5.973
_cell_length_c 5.973
_cell_angle_alpha 90.00
_cell_angle_beta 90.00
_cell_angle_gamma 90.00
loop_
_atom_site_label
_atom_site_type_symbol
_atom_site_fract_x
_atom_site_fract_y
_atom_site_fract_z
_atom_site_occupancy
In1 In 0.000 0.000 0.000 1
Cu1 Cu 0.000 0.500 0.500 1
Ge1 Ge 0.500 0.500 0.500 1
Se1 Se 0.254 0.254 0.254 1